[1]
A geometry-optimized Ca2FeSi structure, computed with GGA-PBE.

Structure (POSCAR):
```
Ca2FeSi
1.0
3.4473 -1.9879 0.0000
3.4473 1.9879 0.0000
-2.2566 0.0000 7.5968
Ca Fe Si
2 1 1
Direct
0.0000 0.0000 0.0000
0.1716 0.1716 0.5250
0.7523 0.7523 0.2627
0.4189 0.4189 0.2621
```

The value obtained for the total magnetic moment is 0.8 μB/cell. As for the space-group type: Cm. The calculated total energy comes out at -18.60 eV per formula unit.

[2]
A geometry-optimized Ca2FeSi structure, computed with GGA-PBE.

Structure (POSCAR):
```
Ca2FeSi
1.0
5.3038 0.0000 0.0000
0.0000 3.9358 0.0000
0.0000 0.0000 8.7270
Ca Fe Si
4 2 2
Direct
0.2500 0.0000 0.1571
0.2500 0.5000 0.7518
0.7500 0.0000 0.8429
0.7500 0.5000 0.2482
0.0000 0.0000 0.5000
0.5000 0.0000 0.5000
0.2500 0.5000 0.4244
0.7500 0.5000 0.5756
```

The value obtained for the total magnetic moment is 3.2 μB/cell. As for the space-group type: Pmma. The calculated total energy comes out at -18.54 eV per formula unit.

[3]
A geometry-optimized CaFeSi2 structure, computed with GGA-PBE.

Structure (POSCAR):
```
CaFeSi2
1.0
-2.0397 2.7805 3.2882
2.0397 -2.7805 3.2882
2.0397 2.7805 -3.2882
Ca Fe Si
1 1 2
Direct
0.0000 0.0000 0.0000
0.5000 0.5000 0.0000
0.3202 0.8202 0.5000
0.6798 0.1798 0.5000
```

The value obtained for the total magnetic moment is 1.6 μB/cell. As for the space-group type: Immm. The calculated total energy comes out at -21.23 eV per formula unit.